DFT (PBE) results for a geometry-optimized K3Ta structure.

Values from the calculation:
Calculated formation energy, eV per formula unit: 4.6
Energy above the lowest structure with this stoichiometry, meV per atom: 382
VASP energy, eV/atom: -2.625

POSCAR file:
```
K3Ta
1.0
-0.325 2.552 2.070
-3.051 -1.060 -0.689
0.602 -9.046 11.245
K Ta
3 1
Cartesian
0.025 -0.376 0.467
-1.237 -6.038 9.125
0.276 -4.147 5.156
-1.538 -1.515 3.502
```